A plane-wave DFT calculation with PBE-GGA was carried out for Tb2Tm2In5 after structural relaxation.

a = 9.401 Å, b = 9.401 Å, c = 9.401 Å
α = 80.89°, β = 136.06°, γ = 116.00°
Positions (direct):
Tb: 0.029 0.127 0.157
Tb: 0.029 0.373 0.402
Tb: 0.971 0.627 0.598
Tb: 0.971 0.873 0.843
Tm: 0.436 0.436 0.000
Tm: 0.436 0.936 0.500
Tm: 0.552 0.811 0.241
Tm: 0.570 0.311 0.759
In: 0.060 0.424 0.936
In: 0.060 0.624 0.136
In: 0.091 0.034 0.557
In: 0.476 0.534 0.443
In: 0.488 0.124 0.064
In: 0.488 0.924 0.864
In: 0.524 0.261 0.359
In: 0.524 0.665 0.763
In: 0.901 0.165 0.641
In: 0.901 0.761 0.237

## Properties
E: -3.785 eV per atom
Formation enthalpy at 0 K: -0.24 eV per atom

A plane-wave DFT calculation with PBE-GGA was carried out for SrZn2Co after structural relaxation.

a = 4.212 Å, b = 4.212 Å, c = 6.010 Å
α = 110.63°, β = 110.63°, γ = 60.04°
Positions (direct):
Sr: 0.000 0.000 0.000
Zn: 0.196 0.196 0.587
Zn: 0.804 0.804 0.413
Co: 0.500 0.500 0.500

## Properties
E: -2.881 eV per atom
Formation enthalpy at 0 K: -0.05 eV per atom

A plane-wave DFT calculation with PBE-GGA was carried out for NaLuO2 after structural relaxation.

a = 5.965 Å, b = 5.965 Å, c = 5.965 Å
α = 135.33°, β = 135.33°, γ = 65.03°
Positions (direct):
Na: 0.375 0.625 0.750
Na: 0.625 0.375 0.250
Lu: 0.125 0.875 0.250
Lu: 0.875 0.125 0.750
O: 0.096 0.346 0.750
O: 0.346 0.096 0.250
O: 0.654 0.904 0.750
O: 0.904 0.654 0.250

## Properties
Energy relative to the elements, uncorrected: -2.870 eV/atom
Relative energy among the computed polymorphs: 27 meV per atom
E: -6.810 eV per atom

A plane-wave DFT calculation with PBE-GGA was carried out for Zr3Ta2 after structural relaxation.

a = 4.956 Å, b = 4.956 Å, c = 4.956 Å
α = 75.34°, β = 75.34°, γ = 75.34°
Positions (direct):
Zr: 0.000 0.500 0.500
Zr: 0.500 0.000 0.500
Zr: 0.500 0.500 0.000
Ta: 0.116 0.116 0.116
Ta: 0.884 0.884 0.884

## Properties
Relative energy among the computed polymorphs: 179 meV per atom
E: -9.484 eV per atom
Formation enthalpy at 0 K: 0.39 eV per atom

no.,volume (Å³/f.u.)
1,250.8
2,84.4
3,51.7
4,111.6